No. 1
# Be2AgW (PBE, optimized geometry)
# Polymorph energy (0 for the lowest one) in meV/atom: 327.2
# Calculated formation energy in meV/atom: 501
# N(E_F) in states/eV per atom: 0.62
data_Be2AgW
_space_group_name_H-M_alt 'F m -3 m'
_space_group_IT_number 225
_space_group_name_Hall '-F 4 2 3'
_cell_length_a 5.838
_cell_length_b 5.838
_cell_length_c 5.838
_cell_angle_alpha 90.00
_cell_angle_beta 90.00
_cell_angle_gamma 90.00
loop_
_atom_site_label
_atom_site_fract_x
_atom_site_fract_y
_atom_site_fract_z
Be1 0.250 0.250 0.250
Ag1 0.000 0.000 0.000
W1 0.000 0.000 0.500



No. 2
# Cs3AlCu (PBE, optimized geometry)
# Polymorph energy (0 for the lowest one) in meV/atom: 0.0
# Calculated formation energy in meV/atom: 543
# N(E_F) in states/eV per atom: 0.86
data_Cs3AlCu
_space_group_name_H-M_alt 'P m -3 m'
_space_group_IT_number 221
_space_group_name_Hall '-P 4 2 3'
_cell_length_a 6.771
_cell_length_b 6.771
_cell_length_c 6.771
_cell_angle_alpha 90.00
_cell_angle_beta 90.00
_cell_angle_gamma 90.00
loop_
_atom_site_label
_atom_site_fract_x
_atom_site_fract_y
_atom_site_fract_z
Cs1 0.000 0.000 0.500
Al1 0.500 0.500 0.500
Cu1 0.000 0.000 0.000



No. 3
# KTlTc2 (PBE, optimized geometry)
# Polymorph energy (0 for the lowest one) in meV/atom: 351.6
# Calculated formation energy in meV/atom: 836
# N(E_F) in states/eV per atom: 0.93
data_KTlTc2
_space_group_name_H-M_alt 'C 1 2/m 1'
_space_group_IT_number 12
_space_group_name_Hall '-C 2y'
_cell_length_a 10.220
_cell_length_b 3.656
_cell_length_c 6.364
_cell_angle_alpha 90.00
_cell_angle_beta 102.72
_cell_angle_gamma 90.00
loop_
_atom_site_label
_atom_site_fract_x
_atom_site_fract_y
_atom_site_fract_z
K1 0.000 0.000 0.000
Tl1 0.000 0.500 0.500
Tc1 0.237 0.000 0.601



No. 4
# NaCaErPb (PBE, optimized geometry)
# Calculated formation energy in meV/atom: -177
# N(E_F) in states/eV per atom: 0.55
data_NaCaErPb
_space_group_name_H-M_alt 'F -4 3 m'
_space_group_IT_number 216
_space_group_name_Hall 'F -4 2 3'
_cell_length_a 7.764
_cell_length_b 7.764
_cell_length_c 7.764
_cell_angle_alpha 90.00
_cell_angle_beta 90.00
_cell_angle_gamma 90.00
loop_
_atom_site_label
_atom_site_fract_x
_atom_site_fract_y
_atom_site_fract_z
Na1 0.000 0.000 0.000
Ca1 0.250 0.250 0.750
Er1 0.250 0.250 0.250
Pb1 0.000 0.000 0.500



No. 5
# Rb2BeSnSe4 (PBE, optimized geometry)
# N(E_F) in states/eV per atom: 0.00
# Formation energy from raw total energies in eV/atom: -0.843
data_Rb2BeSnSe4
_space_group_name_H-M_alt 'F d d d'
_space_group_IT_number 70
_cell_length_a 6.127
_cell_length_b 14.464
_cell_length_c 24.338
_cell_angle_alpha 90.00
_cell_angle_beta 90.00
_cell_angle_gamma 90.00
loop_
_space_group_symop_operation_xyz
'x,y,z'
'-x,-y,-z'
'-x+1/4,-y+1/4,z'
'x+1/4,y+1/4,-z'
'x,-y+1/4,-z+1/4'
'-x,y+1/4,z+1/4'
'-x+1/4,y,-z+1/4'
'x+1/4,-y,z+1/4'
'x,y+1/2,z+1/2'
'-x,-y+1/2,-z+1/2'
'-x+1/4,-y+3/4,z+1/2'
'x+1/4,y+3/4,-z+1/2'
'x,-y+3/4,-z+3/4'
'-x,y+3/4,z+3/4'
'-x+1/4,y+1/2,-z+3/4'
'x+1/4,-y+1/2,z+3/4'
'x+1/2,y,z+1/2'
'-x+1/2,-y,-z+1/2'
'-x+3/4,-y+1/4,z+1/2'
'x+3/4,y+1/4,-z+1/2'
'x+1/2,-y+1/4,-z+3/4'
'-x+1/2,y+1/4,z+3/4'
'-x+3/4,y,-z+3/4'
'x+3/4,-y,z+3/4'
'x+1/2,y+1/2,z'
'-x+1/2,-y+1/2,-z'
'-x+3/4,-y+3/4,z'
'x+3/4,y+3/4,-z'
'x+1/2,-y+3/4,-z+1/4'
'-x+1/2,y+3/4,z+1/4'
'-x+3/4,y+1/2,-z+1/4'
'x+3/4,-y+1/2,z+1/4'
loop_
_atom_site_label
_atom_site_fract_x
_atom_site_fract_y
_atom_site_fract_z
Rb1 0.125 0.125 0.306
Be1 0.125 0.125 0.625
Sn1 0.125 0.125 0.125
Se1 0.098 0.283 0.820



No. 6
# K3NdPu2Te6 (PBE, optimized geometry)
# N(E_F) in states/eV per atom: 2.22
# Formation energy from raw total energies in eV/atom: -1.209
data_K3NdPu2Te6
_space_group_name_H-M_alt 'C 1 2/m 1'
_space_group_IT_number 12
_space_group_name_Hall '-C 2y'
_cell_length_a 7.946
_cell_length_b 13.764
_cell_length_c 8.629
_cell_angle_alpha 90.00
_cell_angle_beta 107.88
_cell_angle_gamma 90.00
loop_
_atom_site_label
_atom_site_fract_x
_atom_site_fract_y
_atom_site_fract_z
K1 0.000 0.000 0.000
K2 0.000 0.335 0.000
Nd1 0.000 0.500 0.500
Pu1 0.000 0.167 0.500
Te1 0.232 0.000 0.711
Te2 0.239 0.331 0.711



No. 7
# LaCr4Os (PBE, optimized geometry)
# Calculated formation energy in meV/atom: 558
# N(E_F) in states/eV per atom: 1.48
data_LaCr4Os
_space_group_name_H-M_alt 'F -4 3 m'
_space_group_IT_number 216
_space_group_name_Hall 'F -4 2 3'
_cell_length_a 7.108
_cell_length_b 7.108
_cell_length_c 7.108
_cell_angle_alpha 90.00
_cell_angle_beta 90.00
_cell_angle_gamma 90.00
loop_
_atom_site_label
_atom_site_fract_x
_atom_site_fract_y
_atom_site_fract_z
La1 0.000 0.000 0.000
Cr1 0.125 0.125 0.625
Os1 0.250 0.250 0.250



No. 8
# La8Sm5Ho (PBE, optimized geometry)
# Calculated formation energy in meV/atom: 232
# N(E_F) in states/eV per atom: 1.61
data_La8Sm5Ho
_space_group_name_H-M_alt 'I -4'
_space_group_IT_number 82
_space_group_name_Hall 'I -4'
_cell_length_a 9.920
_cell_length_b 9.920
_cell_length_c 10.334
_cell_angle_alpha 90.00
_cell_angle_beta 90.00
_cell_angle_gamma 90.00
loop_
_atom_site_label
_atom_site_fract_x
_atom_site_fract_y
_atom_site_fract_z
La1 0.068 0.169 0.159
La2 0.083 0.314 0.496
Sm1 0.000 0.500 0.250
Sm2 0.103 0.296 0.825
Ho1 0.000 0.000 0.500



No. 9
# ErAl6Ni4 (PBE, optimized geometry)
# Calculated formation energy in meV/atom: -558
# N(E_F) in states/eV per atom: 0.26
data_ErAl6Ni4
_space_group_name_H-M_alt 'I -4 2 m'
_space_group_IT_number 121
_space_group_name_Hall 'I -4 2'
_cell_length_a 6.225
_cell_length_b 6.225
_cell_length_c 8.838
_cell_angle_alpha 90.00
_cell_angle_beta 90.00
_cell_angle_gamma 90.00
loop_
_atom_site_label
_atom_site_fract_x
_atom_site_fract_y
_atom_site_fract_z
Er1 0.000 0.000 0.000
Al1 0.000 0.500 0.000
Al2 0.183 0.183 0.704
Ni1 0.168 0.168 0.424



No. 10
# Hg5Pd4Rh (PBE, optimized geometry)
# Calculated formation energy in meV/atom: -100
# N(E_F) in states/eV per atom: 0.28
data_Hg5Pd4Rh
_space_group_name_H-M_alt 'P 4/m m m'
_space_group_IT_number 123
_space_group_name_Hall '-P 4 2'
_cell_length_a 3.267
_cell_length_b 3.267
_cell_length_c 16.770
_cell_angle_alpha 90.00
_cell_angle_beta 90.00
_cell_angle_gamma 90.00
loop_
_atom_site_label
_atom_site_fract_x
_atom_site_fract_y
_atom_site_fract_z
Hg1 0.000 0.000 0.000
Hg2 0.000 0.000 0.202
Hg3 0.000 0.000 0.403
Pd1 0.500 0.500 0.101
Pd2 0.500 0.500 0.302
Rh1 0.500 0.500 0.500



No. 11
# LiTbCdRh (PBE, optimized geometry)
# Calculated formation energy in meV/atom: -427
# N(E_F) in states/eV per atom: 0.48
data_LiTbCdRh
_space_group_name_H-M_alt 'F -4 3 m'
_space_group_IT_number 216
_space_group_name_Hall 'F -4 2 3'
_cell_length_a 6.751
_cell_length_b 6.751
_cell_length_c 6.751
_cell_angle_alpha 90.00
_cell_angle_beta 90.00
_cell_angle_gamma 90.00
loop_
_atom_site_label
_atom_site_fract_x
_atom_site_fract_y
_atom_site_fract_z
Li1 0.000 0.000 0.000
Tb1 0.250 0.250 0.750
Cd1 0.250 0.250 0.250
Rh1 0.000 0.000 0.500



No. 12
# CaSn2Se3 (PBE, optimized geometry)
# Polymorph energy (0 for the lowest one) in meV/atom: 0.0
# Formation energy from raw total energies in eV/atom: -0.948
data_CaSn2Se3
_space_group_name_H-M_alt 'I m m m'
_space_group_IT_number 71
_space_group_name_Hall '-I 2 2'
_cell_length_a 4.275
_cell_length_b 6.020
_cell_length_c 12.877
_cell_angle_alpha 90.00
_cell_angle_beta 90.00
_cell_angle_gamma 90.00
loop_
_atom_site_label
_atom_site_fract_x
_atom_site_fract_y
_atom_site_fract_z
Ca1 0.000 0.000 0.000
Sn1 0.000 0.000 0.334
Se1 0.000 0.500 0.000
Se2 0.000 0.500 0.337